[1]
## MgCdSb2 (PBE)

Data for a geometry-optimized MgCdSb2 structure.

Summary:
SG: Imm2
Fermi-level density of states (states/eV per atom): 0.42
Raw formation energy (eV per atom): -0.015
ΔE to the lowest computed polymorph (eV per formula unit): 0.20

a b c (Å): 4.021 4.468 11.680
angles (deg): 90.00 90.00 90.00
Element x y z (fractional)
Mg1 0.000 0.000 0.000
Mg2 0.500 0.500 0.500
Cd1 0.000 0.500 0.219
Cd2 0.500 0.000 0.719
Sb1 0.000 0.000 0.512
Sb2 0.000 0.500 0.803
Sb3 0.500 0.000 0.303
Sb4 0.500 0.500 0.012


[2]
## Mg2CdSb (PBE)

Data for a geometry-optimized Mg2CdSb structure.

Summary:
SG: P4/mmm
Fermi-level density of states (states/eV per atom): 0.27
Raw formation energy (eV per atom): -0.152
ΔE to the lowest computed polymorph (eV per formula unit): 0.00

a b c (Å): 4.724 4.724 4.151
angles (deg): 90.00 90.00 90.00
Element x y z (fractional)
Mg1 0.000 0.500 0.000
Mg2 0.500 0.000 0.000
Cd1 0.000 0.000 0.500
Sb1 0.500 0.500 0.500


[3]
## Mg2CdSb (PBE)

Data for a geometry-optimized Mg2CdSb structure.

Summary:
SG: C2/m
Fermi-level density of states (states/eV per atom): 0.28
Raw formation energy (eV per atom): -0.106
ΔE to the lowest computed polymorph (eV per formula unit): 0.18

a b c (Å): 9.033 3.362 6.543
angles (deg): 90.00 101.46 90.00
Element x y z (fractional)
Mg1 0.248 0.000 0.229
Mg2 0.252 0.500 0.771
Mg3 0.748 0.500 0.229
Mg4 0.752 0.000 0.771
Cd1 0.000 0.500 0.000
Cd2 0.500 0.000 0.000
Sb1 0.000 0.000 0.500
Sb2 0.500 0.500 0.500


[4]
## MgCdSb2 (PBE)

Data for a geometry-optimized MgCdSb2 structure.

Summary:
SG: Pm
Fermi-level density of states (states/eV per atom): 0.48
Raw formation energy (eV per atom): -0.064
ΔE to the lowest computed polymorph (eV per formula unit): 0.00

a b c (Å): 3.324 5.936 5.249
angles (deg): 90.00 90.00 90.00
Element x y z (fractional)
Mg1 0.000 0.000 0.000
Cd1 0.498 0.500 0.497
Sb1 0.499 0.000 0.500
Sb2 0.997 0.500 0.997


[5]
## Mg2CdSb (PBE)

Data for a geometry-optimized Mg2CdSb structure.

Summary:
SG: Fm-3m
Fermi-level density of states (states/eV per atom): 0.68
Raw formation energy (eV per atom): -0.101
ΔE to the lowest computed polymorph (eV per formula unit): 0.20

a b c (Å): 7.269 7.269 7.269
angles (deg): 90.00 90.00 90.00
Element x y z (fractional)
Mg1 0.250 0.250 0.250
Mg2 0.250 0.250 0.750
Mg3 0.250 0.750 0.250
Mg4 0.250 0.750 0.750
Mg5 0.750 0.250 0.250
Mg6 0.750 0.250 0.750
Mg7 0.750 0.750 0.250
Mg8 0.750 0.750 0.750
Cd1 0.000 0.000 0.000
Cd2 0.000 0.500 0.500
Cd3 0.500 0.000 0.500
Cd4 0.500 0.500 0.000
Sb1 0.000 0.000 0.500
Sb2 0.000 0.500 0.000
Sb3 0.500 0.000 0.000
Sb4 0.500 0.500 0.500


[6]
## MgCdSb2 (PBE)

Data for a geometry-optimized MgCdSb2 structure.

Summary:
SG: P4/mmm
Fermi-level density of states (states/eV per atom): 0.45
Raw formation energy (eV per atom): -0.001
ΔE to the lowest computed polymorph (eV per formula unit): 0.25

a b c (Å): 4.092 4.092 6.121
angles (deg): 90.00 90.00 90.00
Element x y z (fractional)
Mg1 0.000 0.000 0.000
Cd1 0.000 0.000 0.500
Sb1 0.500 0.500 0.241
Sb2 0.500 0.500 0.759


[7]
## MgCdSb2 (PBE)

Data for a geometry-optimized MgCdSb2 structure.

Summary:
SG: P4mm
Fermi-level density of states (states/eV per atom): 0.53
Raw formation energy (eV per atom): 0.037
ΔE to the lowest computed polymorph (eV per formula unit): 0.41

a b c (Å): 3.168 3.168 10.256
angles (deg): 90.00 90.00 90.00
Element x y z (fractional)
Mg1 0.000 0.000 0.000
Cd1 0.500 0.500 0.785
Sb1 0.000 0.000 0.545
Sb2 0.500 0.500 0.216


[8]
## MgCdSb2 (PBE)

Data for a geometry-optimized MgCdSb2 structure.

Summary:
SG: R-3m
Fermi-level density of states (states/eV per atom): 0.42
Raw formation energy (eV per atom): 0.020
ΔE to the lowest computed polymorph (eV per formula unit): 0.34

a b c (Å): 3.412 3.412 30.664
angles (deg): 90.00 90.00 120.00
Element x y z (fractional)
Mg1 0.000 0.000 0.000
Mg2 0.333 0.667 0.667
Mg3 0.667 0.333 0.333
Cd1 0.000 0.000 0.500
Cd2 0.333 0.667 0.167
Cd3 0.667 0.333 0.833
Sb1 0.000 0.000 0.257
Sb2 0.000 0.000 0.743
Sb3 0.333 0.667 0.410
Sb4 0.333 0.667 0.924
Sb5 0.667 0.333 0.076
Sb6 0.667 0.333 0.590


[9]
## MgCdSb2 (PBE)

Data for a geometry-optimized MgCdSb2 structure.

Summary:
SG: R3m
Fermi-level density of states (states/eV per atom): 0.98
Raw formation energy (eV per atom): 0.075
ΔE to the lowest computed polymorph (eV per formula unit): 0.56

a b c (Å): 3.406 3.406 30.645
angles (deg): 90.00 90.00 120.00
Element x y z (fractional)
Mg1 0.000 0.000 0.000
Mg2 0.333 0.667 0.667
Mg3 0.667 0.333 0.333
Cd1 0.000 0.000 0.744
Cd2 0.333 0.667 0.410
Cd3 0.667 0.333 0.077
Sb1 0.000 0.000 0.258
Sb2 0.000 0.000 0.490
Sb3 0.333 0.667 0.157
Sb4 0.333 0.667 0.925
Sb5 0.667 0.333 0.591
Sb6 0.667 0.333 0.824


[10]
## MgCdSb4 (PBE)

Data for a geometry-optimized MgCdSb4 structure.

Summary:
SG: F-43m
Fermi-level density of states (states/eV per atom): 0.47
Raw formation energy (eV per atom): 0.218

a b c (Å): 6.269 6.269 6.269
angles (deg): 60.00 60.00 60.00
Element x y z (fractional)
Mg1 0.000 0.000 0.000
Cd1 0.250 0.250 0.250
Sb1 0.125 0.625 0.625
Sb2 0.625 0.125 0.625
Sb3 0.625 0.625 0.125
Sb4 0.625 0.625 0.625


[11]
## Mg2CdSb (PBE)

Data for a geometry-optimized Mg2CdSb structure.

Summary:
SG: I-42d
Fermi-level density of states (states/eV per atom): 0.37
Raw formation energy (eV per atom): -0.009
ΔE to the lowest computed polymorph (eV per formula unit): 0.57

a b c (Å): 4.621 4.621 19.446
angles (deg): 90.00 90.00 90.00
Element x y z (fractional)
Mg1 0.233 0.250 0.125
Mg2 0.250 0.733 0.375
Mg3 0.250 0.767 0.875
Mg4 0.267 0.250 0.625
Mg5 0.733 0.750 0.625
Mg6 0.750 0.233 0.875
Mg7 0.750 0.267 0.375
Mg8 0.767 0.750 0.125
Cd1 0.000 0.000 0.000
Cd2 0.000 0.500 0.250
Cd3 0.500 0.000 0.750
Cd4 0.500 0.500 0.500
Sb1 0.000 0.000 0.500
Sb2 0.000 0.500 0.750
Sb3 0.500 0.000 0.250
Sb4 0.500 0.500 0.000


[12]
## Mg2CdSb (PBE)

Data for a geometry-optimized Mg2CdSb structure.

Summary:
SG: P2/m
Fermi-level density of states (states/eV per atom): 0.27
Raw formation energy (eV per atom): -0.137
ΔE to the lowest computed polymorph (eV per formula unit): 0.06

a b c (Å): 3.310 4.121 6.770
angles (deg): 90.00 90.96 90.00
Element x y z (fractional)
Mg1 0.002 0.000 0.244
Mg2 0.998 0.000 0.756
Cd1 0.500 0.500 0.000
Sb1 0.500 0.500 0.500


[13]
## MgCd2Sb (PBE)

Data for a geometry-optimized MgCd2Sb structure.

Summary:
SG: I-42d
Fermi-level density of states (states/eV per atom): 0.33
Raw formation energy (eV per atom): -0.042

a b c (Å): 4.305 4.305 21.772
angles (deg): 90.00 90.00 90.00
Element x y z (fractional)
Mg1 0.000 0.000 0.000
Mg2 0.000 0.500 0.250
Mg3 0.500 0.000 0.750
Mg4 0.500 0.500 0.500
Cd1 0.239 0.250 0.125
Cd2 0.250 0.739 0.375
Cd3 0.250 0.761 0.875
Cd4 0.261 0.250 0.625
Cd5 0.739 0.750 0.625
Cd6 0.750 0.239 0.875
Cd7 0.750 0.261 0.375
Cd8 0.761 0.750 0.125
Sb1 0.000 0.000 0.500
Sb2 0.000 0.500 0.750
Sb3 0.500 0.000 0.250
Sb4 0.500 0.500 0.000


[14]
## MgCd2Sb (PBE)

Data for a geometry-optimized MgCd2Sb structure.

Summary:
SG: P4/mmm
Fermi-level density of states (states/eV per atom): 0.27
Raw formation energy (eV per atom): -0.059

a b c (Å): 4.313 4.313 5.125
angles (deg): 90.00 90.00 90.00
Element x y z (fractional)
Mg1 0.000 0.000 0.000
Cd1 0.000 0.500 0.500
Cd2 0.500 0.000 0.500
Sb1 0.500 0.500 0.000